Entry 1:
# LuZnRuPt PBE-GGA relaxed
# Volume in Å³ per cell: 265
# DFT formation energy in eV per atom: -0.566
data_LuZnRuPt
_chemical_formula_sum 'Lu4 Zn4 Ru4 Pt4'
_space_group_name_H-M_alt 'F -4 3 m'
_space_group_IT_number 216
_space_group_name_Hall 'F -4 2 3'
_cell_length_a 6.426
_cell_length_b 6.426
_cell_length_c 6.426
_cell_angle_alpha 90.00
_cell_angle_beta 90.00
_cell_angle_gamma 90.00
loop_
_atom_site_label
_atom_site_type_symbol
_atom_site_fract_x
_atom_site_fract_y
_atom_site_fract_z
Lu1 Lu 0.000 0.000 0.000
Zn1 Zn 0.000 0.000 0.500
Ru1 Ru 0.250 0.250 0.250
Pt1 Pt 0.250 0.250 0.750

***

Entry 2:
# Tb2PmNdTm5 PBE-GGA relaxed
# Volume in Å³ per cell: 1149
# DFT formation energy in eV per atom: 0.273
data_Tb2PmNdTm5
_chemical_formula_sum 'Tb8 Pm4 Nd4 Tm20'
_space_group_name_H-M_alt 'I 4/m c m'
_space_group_IT_number 140
_space_group_name_Hall '-I 4 2c'
_cell_length_a 8.766
_cell_length_b 8.766
_cell_length_c 14.951
_cell_angle_alpha 90.00
_cell_angle_beta 90.00
_cell_angle_gamma 90.00
loop_
_atom_site_label
_atom_site_type_symbol
_atom_site_fract_x
_atom_site_fract_y
_atom_site_fract_z
Tb1 Tb 0.115 0.385 0.000
Pm1 Pm 0.000 0.500 0.250
Nd1 Nd 0.000 0.000 0.250
Tm1 Tm 0.000 0.000 0.000
Tm2 Tm 0.206 0.294 0.366

***

Entry 3:
# Li2TbSn2Hg2 PBE-GGA relaxed
# Volume in Å³ per cell: 475
# DFT formation energy in eV per atom: -0.397
data_Li2TbSn2Hg2
_chemical_formula_sum 'Li6 Tb3 Sn6 Hg6'
_space_group_name_H-M_alt 'R -3 m'
_space_group_IT_number 166
_space_group_name_Hall '-R 3 2"'
_cell_length_a 4.6670
_cell_length_b 4.6670
_cell_length_c 25.1885
_cell_angle_alpha 90.00
_cell_angle_beta 90.00
_cell_angle_gamma 120.00
loop_
_atom_site_label
_atom_site_type_symbol
_atom_site_fract_x
_atom_site_fract_y
_atom_site_fract_z
Li1 Li 0.0000 0.0000 0.1421
Tb1 Tb 0.0000 0.0000 0.0000
Sn1 Sn 0.0000 0.0000 0.2666
Hg1 Hg 0.0000 0.0000 0.4416

***

Entry 4:
# TeIN2 PBE-GGA relaxed
# Formation energy from raw total energies in kJ per mole of atoms: 213.1
# Volume in Å³ per cell: 248
# Energy above the lowest structure with this stoichiometry in meV per atom: 997
data_TeIN2
_chemical_formula_sum 'Te4 I4 N8'
_space_group_name_H-M_alt 'F m -3 m'
_space_group_IT_number 225
_space_group_name_Hall '-F 4 2 3'
_cell_length_a 6.285
_cell_length_b 6.285
_cell_length_c 6.285
_cell_angle_alpha 90.00
_cell_angle_beta 90.00
_cell_angle_gamma 90.00
loop_
_atom_site_label
_atom_site_type_symbol
_atom_site_fract_x
_atom_site_fract_y
_atom_site_fract_z
Te1 Te 0.000 0.000 0.000
I1 I 0.000 0.000 0.500
N1 N 0.250 0.250 0.250

***

Entry 5:
# GdPaBi2 PBE-GGA relaxed
# Volume in Å³ per cell: 116
# DFT formation energy in eV per atom: -0.398
# Energy above the lowest structure with this stoichiometry in meV per atom: 65
data_GdPaBi2
_chemical_formula_sum 'Gd1 Pa1 Bi2'
_space_group_name_H-M_alt 'P 4/m m m'
_space_group_IT_number 123
_space_group_name_Hall '-P 4 2'
_cell_length_a 3.881
_cell_length_b 3.881
_cell_length_c 7.690
_cell_angle_alpha 90.00
_cell_angle_beta 90.00
_cell_angle_gamma 90.00
loop_
_atom_site_label
_atom_site_type_symbol
_atom_site_fract_x
_atom_site_fract_y
_atom_site_fract_z
Gd1 Gd 0.000 0.000 0.000
Pa1 Pa 0.000 0.000 0.500
Bi1 Bi 0.500 0.500 0.255

***

Entry 6:
# HfCd2Au8 PBE-GGA relaxed
# Volume in Å³ per cell: 443
# DFT formation energy in eV per atom: -0.134
data_HfCd2Au8
_chemical_formula_sum 'Hf2 Cd4 Au16'
_space_group_name_H-M_alt 'C 1 2/m 1'
_space_group_IT_number 12
_cell_length_a 8.791
_cell_length_b 12.349
_cell_length_c 4.076
_cell_angle_alpha 90.00
_cell_angle_beta 90.45
_cell_angle_gamma 90.00
loop_
_space_group_symop_operation_xyz
'x,y,z'
'-x,-y,-z'
'-x,y,-z'
'x,-y,z'
'x+1/2,y+1/2,z'
'-x+1/2,-y+1/2,-z'
'-x+1/2,y+1/2,-z'
'x+1/2,-y+1/2,z'
loop_
_atom_site_label
_atom_site_type_symbol
_atom_site_fract_x
_atom_site_fract_y
_atom_site_fract_z
Hf1 Hf 0.000 0.000 0.000
Cd1 Cd 0.000 0.378 0.500
Au1 Au 0.000 0.229 0.000
Au2 Au 0.169 0.124 0.502
Au3 Au 0.171 0.500 0.999

***

Entry 7:
# Tm7Co2Rh2 PBE-GGA relaxed
# Volume in Å³ per cell: 511
# DFT formation energy in eV per atom: -0.294
data_Tm7Co2Rh2
_chemical_formula_sum 'Tm14 Co4 Rh4'
_space_group_name_H-M_alt 'C m m m'
_space_group_IT_number 65
_space_group_name_Hall '-C 2 2'
_cell_length_a 7.607
_cell_length_b 10.225
_cell_length_c 6.570
_cell_angle_alpha 90.00
_cell_angle_beta 90.00
_cell_angle_gamma 90.00
loop_
_atom_site_label
_atom_site_type_symbol
_atom_site_fract_x
_atom_site_fract_y
_atom_site_fract_z
Tm1 Tm 0.000 0.000 0.000
Tm2 Tm 0.000 0.500 0.254
Tm3 Tm 0.250 0.250 0.261
Co1 Co 0.000 0.285 0.000
Rh1 Rh 0.189 0.000 0.500

***

Entry 8:
# Pr3BCl3 PBE-GGA relaxed
# Formation energy from raw total energies in kJ per mole of atoms: -141.0
# Volume in Å³ per cell: 1518
data_Pr3BCl3
_chemical_formula_sum 'Pr24 B8 Cl24'
_space_group_name_H-M_alt 'I 41 3 2'
_space_group_IT_number 214
_space_group_name_Hall 'I 4bd 2c 3'
_cell_length_a 11.493
_cell_length_b 11.493
_cell_length_c 11.493
_cell_angle_alpha 90.00
_cell_angle_beta 90.00
_cell_angle_gamma 90.00
loop_
_atom_site_label
_atom_site_type_symbol
_atom_site_fract_x
_atom_site_fract_y
_atom_site_fract_z
Pr1 Pr 0.112 0.362 0.125
B1 B 0.125 0.125 0.125
Cl1 Cl 0.121 0.129 0.625

***

Entry 9:
# ZrTi2In2 PBE-GGA relaxed
# Volume in Å³ per cell: 205
# DFT formation energy in eV per atom: -0.051
# Energy above the lowest structure with this stoichiometry in meV per atom: 0
data_ZrTi2In2
_chemical_formula_sum 'Zr2 Ti4 In4'
_space_group_name_H-M_alt 'C m m m'
_space_group_IT_number 65
_space_group_name_Hall '-C 2 2'
_cell_length_a 2.981
_cell_length_b 22.879
_cell_length_c 3.005
_cell_angle_alpha 90.00
_cell_angle_beta 90.00
_cell_angle_gamma 90.00
loop_
_atom_site_label
_atom_site_type_symbol
_atom_site_fract_x
_atom_site_fract_y
_atom_site_fract_z
Zr1 Zr 0.000 0.000 0.000
Ti1 Ti 0.000 0.200 0.000
In1 In 0.000 0.396 0.500

***

Entry 10:
# RbRu2Cl PBE-GGA relaxed
# Formation energy from raw total energies in kJ per mole of atoms: 167.8
# Volume in Å³ per cell: 325
# Energy above the lowest structure with this stoichiometry in meV per atom: 983
data_RbRu2Cl
_chemical_formula_sum 'Rb4 Ru8 Cl4'
_space_group_name_H-M_alt 'F m -3 m'
_space_group_IT_number 225
_space_group_name_Hall '-F 4 2 3'
_cell_length_a 6.872
_cell_length_b 6.872
_cell_length_c 6.872
_cell_angle_alpha 90.00
_cell_angle_beta 90.00
_cell_angle_gamma 90.00
loop_
_atom_site_label
_atom_site_type_symbol
_atom_site_fract_x
_atom_site_fract_y
_atom_site_fract_z
Rb1 Rb 0.000 0.000 0.000
Ru1 Ru 0.250 0.250 0.250
Cl1 Cl 0.000 0.000 0.500

***

Entry 11:
# Cr2MoSe PBE-GGA relaxed
# Formation energy from raw total energies in kJ per mole of atoms: 39.1
# Volume in Å³ per cell: 119
data_Cr2MoSe
_chemical_formula_sum 'Cr4 Mo2 Se2'
_space_group_name_H-M_alt 'C m m m'
_space_group_IT_number 65
_space_group_name_Hall '-C 2 2'
_cell_length_a 3.207
_cell_length_b 4.738
_cell_length_c 7.850
_cell_angle_alpha 90.00
_cell_angle_beta 90.00
_cell_angle_gamma 90.00
loop_
_atom_site_label
_atom_site_type_symbol
_atom_site_fract_x
_atom_site_fract_y
_atom_site_fract_z
Cr1 Cr 0.000 0.000 0.247
Mo1 Mo 0.000 0.500 0.000
Se1 Se 0.000 0.500 0.500

***

Entry 12:
# CeHo4Al5 PBE-GGA relaxed
# Volume in Å³ per cell: 233
# DFT formation energy in eV per atom: -0.372
data_CeHo4Al5
_chemical_formula_sum 'Ce1 Ho4 Al5'
_space_group_name_H-M_alt 'P 4/m m m'
_space_group_IT_number 123
_space_group_name_Hall '-P 4 2'
_cell_length_a 3.536
_cell_length_b 3.536
_cell_length_c 18.634
_cell_angle_alpha 90.00
_cell_angle_beta 90.00
_cell_angle_gamma 90.00
loop_
_atom_site_label
_atom_site_type_symbol
_atom_site_fract_x
_atom_site_fract_y
_atom_site_fract_z
Ce1 Ce 0.000 0.000 0.000
Ho1 Ho 0.000 0.000 0.206
Ho2 Ho 0.000 0.000 0.402
Al1 Al 0.500 0.500 0.107
Al2 Al 0.500 0.500 0.304
Al3 Al 0.500 0.500 0.500

***

Entry 13:
# GaTcOF2 PBE-GGA relaxed
# Formation energy from raw total energies in kJ per mole of atoms: -56.9
# Volume in Å³ per cell: 77
# Energy above the lowest structure with this stoichiometry in meV per atom: 661
data_GaTcOF2
_chemical_formula_sum 'Ga1 Tc1 O1 F2'
_space_group_name_H-M_alt 'P 4/m m m'
_space_group_IT_number 123
_space_group_name_Hall '-P 4 2'
_cell_length_a 3.810
_cell_length_b 3.810
_cell_length_c 5.334
_cell_angle_alpha 90.00
_cell_angle_beta 90.00
_cell_angle_gamma 90.00
loop_
_atom_site_label
_atom_site_type_symbol
_atom_site_fract_x
_atom_site_fract_y
_atom_site_fract_z
Ga1 Ga 0.000 0.000 0.000
Tc1 Tc 0.000 0.000 0.500
O1 O 0.500 0.500 0.000
F1 F 0.000 0.500 0.500

***

Entry 14:
# PmNdSiCl PBE-GGA relaxed
# Formation energy from raw total energies in kJ per mole of atoms: -113.9
# Volume in Å³ per cell: 323
data_PmNdSiCl
_chemical_formula_sum 'Pm3 Nd3 Si3 Cl3'
_space_group_name_H-M_alt 'R 3 m'
_space_group_IT_number 160
_space_group_name_Hall 'R 3 -2"'
_cell_length_a 4.2294
_cell_length_b 4.2294
_cell_length_c 20.8400
_cell_angle_alpha 90.00
_cell_angle_beta 90.00
_cell_angle_gamma 120.00
loop_
_atom_site_label
_atom_site_type_symbol
_atom_site_fract_x
_atom_site_fract_y
_atom_site_fract_z
Pm1 Pm 0.0000 0.0000 0.0000
Nd1 Nd 0.0000 0.0000 0.5175
Si1 Si 0.0000 0.0000 0.2595
Cl1 Cl 0.0000 0.0000 0.7580

***

Entry 15:
# PuTeIr PBE-GGA relaxed
# Formation energy from raw total energies in kJ per mole of atoms: -9.4
# Volume in Å³ per cell: 292
data_PuTeIr
_chemical_formula_sum 'Pu4 Te4 Ir4'
_space_group_name_H-M_alt 'A m m 2'
_space_group_IT_number 38
_cell_length_a 8.384
_cell_length_b 5.794
_cell_length_c 6.010
_cell_angle_alpha 90.00
_cell_angle_beta 90.00
_cell_angle_gamma 90.00
loop_
_space_group_symop_operation_xyz
'x,y,z'
'-x,-y,z'
'-x,y,z'
'x,-y,z'
'x,y+1/2,z+1/2'
'-x,-y+1/2,z+1/2'
'-x,y+1/2,z+1/2'
'x,-y+1/2,z+1/2'
loop_
_atom_site_label
_atom_site_type_symbol
_atom_site_fract_x
_atom_site_fract_y
_atom_site_fract_z
Pu1 Pu 0.181 0.000 0.000
Te1 Te 0.303 0.000 0.489
Ir1 Ir 0.000 0.000 0.588
Ir2 Ir 0.500 0.000 0.839

***

Entry 16:
# LiPrErTm PBE-GGA relaxed
# Volume in Å³ per cell: 473
# DFT formation energy in eV per atom: 0.162
data_LiPrErTm
_chemical_formula_sum 'Li4 Pr4 Er4 Tm4'
_space_group_name_H-M_alt 'F -4 3 m'
_space_group_IT_number 216
_space_group_name_Hall 'F -4 2 3'
_cell_length_a 7.790
_cell_length_b 7.790
_cell_length_c 7.790
_cell_angle_alpha 90.00
_cell_angle_beta 90.00
_cell_angle_gamma 90.00
loop_
_atom_site_label
_atom_site_type_symbol
_atom_site_fract_x
_atom_site_fract_y
_atom_site_fract_z
Li1 Li 0.000 0.000 0.000
Pr1 Pr 0.250 0.250 0.250
Er1 Er 0.250 0.250 0.750
Tm1 Tm 0.000 0.000 0.500

***

Entry 17:
# RbLi2CdGa PBE-GGA relaxed
# Volume in Å³ per cell: 147
# DFT formation energy in eV per atom: -0.020
data_RbLi2CdGa
_chemical_formula_sum 'Rb1 Li2 Cd1 Ga1'
_space_group_name_H-M_alt 'P 4/m m m'
_space_group_IT_number 123
_space_group_name_Hall '-P 4 2'
_cell_length_a 5.364
_cell_length_b 5.364
_cell_length_c 5.101
_cell_angle_alpha 90.00
_cell_angle_beta 90.00
_cell_angle_gamma 90.00
loop_
_atom_site_label
_atom_site_type_symbol
_atom_site_fract_x
_atom_site_fract_y
_atom_site_fract_z
Rb1 Rb 0.000 0.000 0.000
Li1 Li 0.000 0.500 0.500
Cd1 Cd 0.500 0.500 0.000
Ga1 Ga 0.500 0.500 0.500

***

Entry 18:
# ZnTcBr PBE-GGA relaxed
# Formation energy from raw total energies in kJ per mole of atoms: 84.5
# Volume in Å³ per cell: 238
# Energy above the lowest structure with this stoichiometry in meV per atom: 473
data_ZnTcBr
_chemical_formula_sum 'Zn4 Tc4 Br4'
_space_group_name_H-M_alt 'F -4 3 m'
_space_group_IT_number 216
_space_group_name_Hall 'F -4 2 3'
_cell_length_a 6.201
_cell_length_b 6.201
_cell_length_c 6.201
_cell_angle_alpha 90.00
_cell_angle_beta 90.00
_cell_angle_gamma 90.00
loop_
_atom_site_label
_atom_site_type_symbol
_atom_site_fract_x
_atom_site_fract_y
_atom_site_fract_z
Zn1 Zn 0.000 0.000 0.000
Tc1 Tc 0.250 0.250 0.250
Br1 Br 0.000 0.000 0.500

***

Entry 19:
# YMg6Sb PBE-GGA relaxed
# Formation energy from raw total energies in kJ per mole of atoms: -13.8
# Volume in Å³ per cell: 387
# Energy above the lowest structure with this stoichiometry in meV per atom: 0
data_YMg6Sb
_chemical_formula_sum 'Y2 Mg12 Sb2'
_space_group_name_H-M_alt 'A m m 2'
_space_group_IT_number 38
_cell_length_a 5.297
_cell_length_b 6.261
_cell_length_c 11.682
_cell_angle_alpha 90.00
_cell_angle_beta 90.00
_cell_angle_gamma 90.00
loop_
_space_group_symop_operation_xyz
'x,y,z'
'-x,-y,z'
'-x,y,z'
'x,-y,z'
'x,y+1/2,z+1/2'
'-x,-y+1/2,z+1/2'
'-x,y+1/2,z+1/2'
'x,-y+1/2,z+1/2'
loop_
_atom_site_label
_atom_site_type_symbol
_atom_site_fract_x
_atom_site_fract_y
_atom_site_fract_z
Y1 Y 0.000 0.000 0.000
Mg1 Mg 0.000 0.249 0.247
Mg2 Mg 0.500 0.000 0.163
Mg3 Mg 0.500 0.000 0.655
Mg4 Mg 0.500 0.246 0.898
Sb1 Sb 0.000 0.000 0.495

***

Entry 20:
# Tl5Se3 PBE-GGA relaxed
# Formation energy from raw total energies in kJ per mole of atoms: -32.5
# Volume in Å³ per cell: 959
# Energy above the lowest structure with this stoichiometry in meV per atom: 0
data_Tl5Se3
_chemical_formula_sum 'Tl20 Se12'
_space_group_name_H-M_alt 'P 4/n'
_space_group_IT_number 85
_cell_length_a 8.581
_cell_length_b 8.581
_cell_length_c 13.030
_cell_angle_alpha 90.00
_cell_angle_beta 90.00
_cell_angle_gamma 90.00
loop_
_space_group_symop_operation_xyz
'x,y,z'
'-x,-y,-z'
'-y+1/2,x,z'
'y+1/2,-x,-z'
'-x+1/2,-y+1/2,z'
'x+1/2,y+1/2,-z'
'y,-x+1/2,z'
'-y,x+1/2,-z'
loop_
_atom_site_label
_atom_site_type_symbol
_atom_site_fract_x
_atom_site_fract_y
_atom_site_fract_z
Tl1 Tl 0.077 0.629 0.099
Tl2 Tl 0.077 0.871 0.599
Tl3 Tl 0.250 0.250 0.213
Tl4 Tl 0.250 0.250 0.709
Se1 Se 0.082 0.590 0.752
Se2 Se 0.250 0.250 0.475
Se3 Se 0.250 0.250 0.986